Entry from the Alexandria database: a geometry-optimized NaNdTh2Bi4 structure (PBE-GGA).

Calculated values
As for the energy of formation from the pure elements: -0.597 eV/atom. As for the volume: 34.96 A^3/atom. The total energy is -5.153 eV/atom. The value obtained for the density of states at the Fermi level is 2.0 states/eV per cell. The magnetic moment comes out at 0.000 μB/f.u.

Geometry as CIF:
```
data_NaNdTh2Bi4
_chemical_formula_sum 'Na1 Nd1 Th2 Bi4'
_space_group_name_H-M_alt 'P 1 2/m 1'
_space_group_IT_number 10
_space_group_name_Hall '-P 2y'
_cell_length_a 7.9719
_cell_length_b 4.6280
_cell_length_c 8.0276
_cell_angle_alpha 90.00
_cell_angle_beta 109.22
_cell_angle_gamma 90.00
loop_
_atom_site_label
_atom_site_fract_x
_atom_site_fract_y
_atom_site_fract_z
_atom_site_occupancy
Na1 0.0000 0.0000 0.0000 1
Nd1 0.0000 0.5000 0.5000 1
Th1 0.5000 0.0000 0.5000 1
Th2 0.5000 0.5000 0.0000 1
Bi1 0.2509 0.0000 0.7520 1
Bi2 0.2563 0.5000 0.2523 1
```